Computed, not measured: an optimized crystal structure of Pr2ErIn at the GGA-PBE level of DFT.

a = 3.658 Å, b = 3.658 Å, c = 9.539 Å
α = 90.00°, β = 90.00°, γ = 90.00°
Fractional coordinates of all 4 atoms:
Pr1 0.000 0.000 0.771
Pr2 0.000 0.000 0.229
In1 0.500 0.500 0.000
Er1 0.500 0.500 0.500

- Polymorph energy (0 for the lowest one): 73 meV per atom
- Calculated total energy: -17.63 eV/f.u.
- Calculated volume: 31.9 Å³/atom